# Ni3H5 | OQMD | GGA-PBE | relaxed
data_Ni3H5
_symmetry_space_group_name_H-M 'P 1'
_symmetry_Int_Tables_number 1
_symmetry_space_group_name_Hall 'P 1'
_cell_length_a 2.6104
_cell_length_b 2.6104
_cell_length_c 6.4099
_cell_angle_alpha 90.00
_cell_angle_beta 90.00
_cell_angle_gamma 90.00
loop_
_atom_site_label
_atom_site_type_symbol
_atom_site_fract_x
_atom_site_fract_y
_atom_site_fract_z
H1 H 0.5000 0.0000 0.0000
H2 H 0.0000 0.5000 0.0000
H3 H 0.0000 0.0000 0.2426
H4 H 0.5000 0.5000 0.5000
H5 H 0.0000 0.0000 0.7574
Ni1 Ni 0.5000 0.5000 0.1958
Ni2 Ni 0.0000 0.0000 0.5000
Ni3 Ni 0.5000 0.5000 0.8042
# Density   6.89 g/cm3
# Total DFT energy (no corrections)   -33.08 eV/cell
# Space-group type   P4/mmm (123)